A relaxed K2SnCl2F2 crystal. Source: the Alexandria database, functional GGA-PBE.

The structure in extended XYZ format:
```
7
Lattice="-2.345 2.345 8.423 2.345 -2.345 8.423 2.345 2.345 -8.423" Properties=species:S:1:pos:R:3 pbc="T T T"
K 0.000 0.000 2.359
K 0.000 0.000 14.486
Sn 0.000 0.000 8.423
Cl 0.000 0.000 5.534
Cl 0.000 0.000 11.312
F 2.345 0.000 0.000
F 0.000 2.345 0.000
```

Computed properties:
The crystal system is tetragonal. As for the uncorrected formation energy: -2.057 eV per atom. The density of states at the Fermi level is 0.0 states/eV/cell. As for the total energy: -4.00 eV/atom. As for the density: 2.740 g/cm³.